12
Lattice="6.598 0.000 0.000 -3.299 5.714 0.000 0.000 0.000 7.961" Properties=species:S:1:pos:R:3 comment="AcTc2HgO8, relaxed, DFT PBE-GGA" space_group="P-3 (147)" e_form_raw_ev_per_atom=-1.717 pbc="T T T"
Ac 0.000 0.000 0.000
Tc 0.000 3.809 1.885
Tc 3.299 1.905 6.076
Hg 0.000 0.000 3.981
O -0.014 2.140 1.274
O -1.439 4.656 1.274
O 0.000 3.809 3.604
O 1.846 1.082 6.687
O 1.453 4.632 1.274
O 3.299 1.905 4.357
O 4.738 1.058 6.687
O 3.313 3.574 6.687

***

18
Lattice="-4.863 4.927 5.309 4.863 -4.927 5.309 4.863 4.927 -5.309" Properties=species:S:1:pos:R:3 comment="Pm6SnOs2, relaxed, DFT PBE-GGA" space_group="Immm (71)" formation_energy_ev_per_fu=-2.58 pbc="T T T"
Pm 4.863 2.894 -2.756
Pm 2.737 1.817 0.000
Pm 6.990 1.817 0.000
Pm 1.807 4.927 -1.806
Pm 3.057 0.000 3.503
Pm 0.000 2.033 2.553
Pm 4.863 2.894 2.756
Pm 1.807 4.927 1.806
Pm 3.057 0.000 7.115
Pm -2.126 3.110 5.309
Pm 2.126 3.110 5.309
Pm 0.000 2.033 8.065
Sn 0.000 0.000 0.000
Sn 0.000 0.000 5.309
Os 4.863 0.000 1.255
Os 0.000 3.231 0.000
Os 0.000 6.624 0.000
Os 0.000 4.927 4.054

***

| no. | M_tot (μB per formula unit) |
| --- | --- |
| 1 | 0.898 |
| 2 | 0.000 |